Density functional theory data (GGA-PBE) for an optimized crystal structure of TlBi2Pd.

The space group is R-3m (No. 166, hexagonal axes) and the conventional cell measures 3.5164, 3.5164 and 32.6787 Å, with angles of 90.00, 90.00 and 120.00 degrees. The inequivalent atoms are Tl at (0.0000, 0.0000, 0.0000), Bi at (0.0000, 0.0000, 0.1052) and Pd at (0.0000, 0.0000, 0.5000).

The value obtained for the total DFT energy (no corrections) is -46.79 eV for the cell shown. The value obtained for the calculated density is 10374 kg/m³. As for the crystal system: trigonal. For the magnetic moment, the calculation gives 0.00 μB per cell. The formation energy comes out at -0.0689 eV/atom. As for the density of states at the Fermi level: 5.7 states/eV per cell.

Density functional theory data (GGA-PBE) for an optimized crystal structure of Tl4Bi2Pd9.

The space group is P-3m1 (No. 164) and the conventional cell measures 4.5950, 4.5950 and 16.7170 Å, with angles of 90.00, 90.00 and 120.00 degrees. The inequivalent atoms are Tl at (0.3333, 0.6667, 0.1019), Tl at (0.3333, 0.6667, 0.4001), Bi at (0.3333, 0.6667, 0.7539), Pd at (0.0000, 0.0000, 0.1613), Pd at (0.0000, 0.0000, 0.3312), Pd at (0.0000, 0.0000, 0.5000), Pd at (0.3333, 0.6667, 0.5727) and Pd at (0.3333, 0.6667, 0.9366).

The value obtained for the total DFT energy (no corrections) is -66.21 eV for the cell shown. The value obtained for the calculated density is 11914 kg/m³. As for the crystal system: trigonal. For the magnetic moment, the calculation gives 0.00 μB per cell. The formation energy comes out at -0.1498 eV/atom. As for the density of states at the Fermi level: 6.8 states/eV per cell.

Density functional theory data (GGA-PBE) for an optimized crystal structure of Tl2BiPd7.

The space group is Cmmm (No. 65) and the conventional cell measures 8.505, 16.204 and 3.051 Å, with angles of 90.00, 90.00 and 90.00 degrees. The inequivalent atoms are Tl at (0.000, 0.179, 0.000), Bi at (0.000, 0.500, 0.500), Pd at (0.000, 0.000, 0.000), Pd at (0.000, 0.322, 0.500) and Pd at (0.226, 0.410, 0.000).

The value obtained for the total DFT energy (no corrections) is -87.26 eV for the cell shown. The value obtained for the calculated density is 10763 kg/m³. As for the crystal system: orthorhombic. For the magnetic moment, the calculation gives 0.00 μB per cell. The formation energy comes out at 0.1335 eV/atom. As for the density of states at the Fermi level: 13.6 states/eV per cell.

Density functional theory data (GGA-PBE) for an optimized crystal structure of Tl3BiPd.

The space group is Pm-3m (No. 221) and the conventional cell measures 5.381, 5.381 and 5.381 Å, with angles of 90.00, 90.00 and 90.00 degrees. The inequivalent atoms are Tl at (0.000, 0.000, 0.500), Bi at (0.500, 0.500, 0.500) and Pd at (0.000, 0.000, 0.000).

The value obtained for the total DFT energy (no corrections) is -15.86 eV for the cell shown. The value obtained for the calculated density is 9898 kg/m³. The value obtained for the energy above the most stable polymorph in this dataset is 122 meV per atom. As for the crystal system: cubic. For the magnetic moment, the calculation gives 0.00 μB per cell. The formation energy comes out at 0.0625 eV/atom. As for the density of states at the Fermi level: 6.1 states/eV per cell.

What did the third record say?
Density functional theory data (GGA-PBE) for an optimized crystal structure of Tl2BiPd7.

The space group is Cmmm (No. 65) and the conventional cell measures 8.505, 16.204 and 3.051 Å, with angles of 90.00, 90.00 and 90.00 degrees. The inequivalent atoms are Tl at (0.000, 0.179, 0.000), Bi at (0.000, 0.500, 0.500), Pd at (0.000, 0.000, 0.000), Pd at (0.000, 0.322, 0.500) and Pd at (0.226, 0.410, 0.000).

The value obtained for the total DFT energy (no corrections) is -87.26 eV for the cell shown. The value obtained for the calculated density is 10763 kg/m³. As for the crystal system: orthorhombic. For the magnetic moment, the calculation gives 0.00 μB per cell. The formation energy comes out at 0.1335 eV/atom. As for the density of states at the Fermi level: 13.6 states/eV per cell.